No. 1
! Nd4ZnSn3 PBE-GGA relaxed; values from VASP
! Symmetry ... Pmm2 (25)
! E ... -4.696 eV per atom
! Energy relative to the elements ... -0.651 eV/atom
! Size of the total moment ... 0.612 μB/f.u.
&SYSTEM
  ibrav = 0, nat = 8, ntyp = 3
/
ATOMIC_SPECIES
Nd 144.24 Nd.upf
Zn 65.41 Zn.upf
Sn 118.71 Sn.upf
CELL_PARAMETERS angstrom
4.4076 0.0000 0.0000
0.0000 4.5840 0.0000
0.0000 0.0000 11.6984
ATOMIC_POSITIONS angstrom
Nd 0.0000 0.0000 0.0000
Nd 0.0000 2.2920 5.7304
Nd 2.2038 0.0000 8.3896
Nd 2.2038 2.2920 2.5648
Zn 0.0000 0.0000 3.2524
Sn 0.0000 2.2920 8.9631
Sn 2.2038 0.0000 5.0599
Sn 2.2038 2.2920 11.0331

No. 2
! VInGa2 PBE-GGA relaxed; values from VASP
! Symmetry ... R-3m (166)
! E ... -4.364 eV per atom
! Energy relative to the elements ... 0.114 eV/atom
! Size of the total moment ... 0.000 μB/f.u.
&SYSTEM
  ibrav = 0, nat = 12, ntyp = 3
/
ATOMIC_SPECIES
V 50.94 V.upf
In 114.82 In.upf
Ga 69.72 Ga.upf
CELL_PARAMETERS angstrom
3.0316 0.0000 0.0000
-1.5158 2.6255 0.0000
0.0000 0.0000 27.2644
ATOMIC_POSITIONS angstrom
V 0.0000 0.0000 0.0000
V 0.0000 1.7503 18.1763
V 1.5158 0.8752 9.0881
In 0.0000 0.0000 13.6322
In 0.0000 1.7503 4.5441
In 1.5158 0.8752 22.7203
Ga 0.0000 0.0000 7.0992
Ga 0.0000 0.0000 20.1652
Ga 0.0000 1.7503 11.0770
Ga 0.0000 1.7503 25.2755
Ga 1.5158 0.8752 1.9889
Ga 1.5158 0.8752 16.1874

No. 3
! TaNbReTc PBE-GGA relaxed; values from VASP
! Symmetry ... F-43m (216)
! E ... -11.568 eV per atom
! Energy relative to the elements ... -0.383 eV/atom
! Size of the total moment ... 0.000 μB/f.u.
&SYSTEM
  ibrav = 0, nat = 16, ntyp = 4
/
ATOMIC_SPECIES
Ta 180.95 Ta.upf
Nb 92.91 Nb.upf
Re 186.21 Re.upf
Tc 98.00 Tc.upf
CELL_PARAMETERS angstrom
6.3923 0.0000 0.0000
0.0000 6.3923 0.0000
0.0000 0.0000 6.3923
ATOMIC_POSITIONS angstrom
Ta 0.0000 0.0000 0.0000
Ta 0.0000 3.1962 3.1962
Ta 3.1962 0.0000 3.1962
Ta 3.1962 3.1962 0.0000
Nb 0.0000 0.0000 3.1962
Nb 0.0000 3.1962 0.0000
Nb 3.1962 0.0000 0.0000
Nb 3.1962 3.1962 3.1962
Re 1.5981 1.5981 4.7942
Re 1.5981 4.7942 1.5981
Re 4.7942 1.5981 1.5981
Re 4.7942 4.7942 4.7942
Tc 1.5981 1.5981 1.5981
Tc 1.5981 4.7942 4.7942
Tc 4.7942 1.5981 4.7942
Tc 4.7942 4.7942 1.5981

No. 4
! Ac2PrTh3As6 PBE-GGA relaxed; values from VASP
! Symmetry ... C2/m (12)
! E ... -6.707 eV per atom
! Energy relative to the elements ... -1.444 eV/atom
! Size of the total moment ... 0.000 μB/f.u.
&SYSTEM
  ibrav = 0, nat = 12, ntyp = 4
/
ATOMIC_SPECIES
Ac 227.00 Ac.upf
Pr 140.91 Pr.upf
Th 232.04 Th.upf
As 74.92 As.upf
CELL_PARAMETERS angstrom
3.7674 -6.5167 0.0000
3.7674 6.5167 0.0000
-2.5125 0.0000 7.1368
ATOMIC_POSITIONS angstrom
Ac 3.7674 4.3492 0.0000
Ac 3.7674 -4.3492 0.0000
Pr 3.7674 0.0000 0.0000
Th -1.2562 0.0000 3.5684
Th 2.5111 2.1904 3.5684
Th 2.5111 -2.1904 3.5684
As 0.0224 2.1349 5.2503
As 1.2999 0.0000 1.9032
As 0.0224 -2.1349 5.2503
As 4.9999 2.1349 1.8865
As 3.7224 0.0000 5.2336
As 4.9999 -2.1349 1.8865

No. 5
! Tl2In2Br5 PBE-GGA relaxed; values from VASP
! Polymorph energy (0 for the lowest one) ... 16 meV/atom
! Symmetry ... C2/m (12)
! E ... -2.791 eV per atom
! ΔE_f (raw) ... -0.727 eV per atom
! Size of the total moment ... 0.000 μB/f.u.
&SYSTEM
  ibrav = 0, nat = 9, ntyp = 3
/
ATOMIC_SPECIES
Tl 204.38 Tl.upf
In 114.82 In.upf
Br 79.90 Br.upf
CELL_PARAMETERS angstrom
7.9401 -2.8773 0.0000
7.9401 2.8773 0.0000
-5.4293 0.0000 7.5609
ATOMIC_POSITIONS angstrom
Tl -0.6552 0.0000 3.5023
Tl 11.1060 0.0000 4.0587
In 5.7572 0.0000 0.7372
In 4.6937 0.0000 6.8237
Br -2.8870 0.0000 6.8348
Br 1.8789 0.0000 5.6059
Br 5.2254 0.0000 3.7805
Br 8.5719 0.0000 1.9550
Br 13.3378 0.0000 0.7261

No. 6
! PdPt3Pb PBE-GGA relaxed; values from VASP
! Polymorph energy (0 for the lowest one) ... 0 meV/atom
! Symmetry ... Pnma (62)
! E ... -5.495 eV per atom
! Energy relative to the elements ... -0.091 eV/atom
! Size of the total moment ... 0.000 μB/f.u.
&SYSTEM
  ibrav = 0, nat = 20, ntyp = 3
/
ATOMIC_SPECIES
Pd 106.42 Pd.upf
Pt 195.08 Pt.upf
Pb 207.20 Pb.upf
CELL_PARAMETERS angstrom
5.8266 0.0000 0.0000
0.0000 4.1364 0.0000
0.0000 0.0000 14.2037
ATOMIC_POSITIONS angstrom
Pd 0.7265 1.0341 0.6694
Pd 2.1868 3.1023 7.7712
Pd 3.6398 1.0341 6.4325
Pd 5.1001 3.1023 13.5343
Pt 0.7033 1.0341 12.0496
Pt 0.7804 1.0341 3.5196
Pt 0.8297 1.0341 6.3348
Pt 2.0836 3.1023 13.4367
Pt 2.1329 3.1023 10.6215
Pt 2.2100 3.1023 4.9478
Pt 3.6166 1.0341 9.2559
Pt 3.6937 1.0341 3.5822
Pt 3.7430 1.0341 0.7670
Pt 4.9969 3.1023 7.8689
Pt 5.0462 3.1023 10.6841
Pt 5.1233 3.1023 2.1541
Pb 0.7236 1.0341 9.1411
Pb 2.1897 3.1023 2.0392
Pb 3.6369 1.0341 12.1645
Pb 5.1030 3.1023 5.0626

No. 7
! CeY5Pb6 PBE-GGA relaxed; values from VASP
! Polymorph energy (0 for the lowest one) ... 0 meV/atom
! Symmetry ... C2/m (12)
! E ... -5.490 eV per atom
! Energy relative to the elements ... -0.448 eV/atom
! Size of the total moment ... 0.985 μB/f.u.
&SYSTEM
  ibrav = 0, nat = 12, ntyp = 3
/
ATOMIC_SPECIES
Ce 140.12 Ce.upf
Y 88.91 Y.upf
Pb 207.20 Pb.upf
CELL_PARAMETERS angstrom
3.0894 -7.7044 0.0000
3.0894 7.7044 0.0000
-1.9039 0.0000 7.5803
ATOMIC_POSITIONS angstrom
Ce 0.0000 0.0000 0.0000
Y -0.9519 0.0000 3.7902
Y 3.0894 2.6340 0.0000
Y 2.1375 2.4699 3.7902
Y 2.1375 -2.4699 3.7902
Y 3.0894 -2.6340 0.0000
Pb 2.5908 5.0969 1.9534
Pb 1.6841 5.0969 5.6269
Pb 1.5721 0.0000 5.7482
Pb 2.7029 0.0000 1.8321
Pb 2.5908 -5.0969 1.9534
Pb 1.6841 -5.0969 5.6269

No. 8
! HfZnBr3 PBE-GGA relaxed; values from VASP
! Polymorph energy (0 for the lowest one) ... 845 meV/atom
! Symmetry ... Pm-3m (221)
! E ... -3.002 eV per atom
! ΔE_f (raw) ... 0.247 eV per atom
! Size of the total moment ... 2.154 μB/f.u.
&SYSTEM
  ibrav = 0, nat = 5, ntyp = 3
/
ATOMIC_SPECIES
Hf 178.49 Hf.upf
Zn 65.41 Zn.upf
Br 79.90 Br.upf
CELL_PARAMETERS angstrom
5.1205 0.0000 0.0000
0.0000 5.1205 0.0000
0.0000 0.0000 5.1205
ATOMIC_POSITIONS angstrom
Hf 0.0000 0.0000 0.0000
Zn 2.5602 2.5602 2.5602
Br 0.0000 2.5602 2.5602
Br 2.5602 0.0000 2.5602
Br 2.5602 2.5602 0.0000

No. 9
! ZrTa2NbIr PBE-GGA relaxed; values from VASP
! Symmetry ... P4/mmm (123)
! E ... -9.297 eV per atom
! Energy relative to the elements ... 0.939 eV/atom
! Size of the total moment ... 0.853 μB/f.u.
&SYSTEM
  ibrav = 0, nat = 5, ntyp = 4
/
ATOMIC_SPECIES
Zr 91.22 Zr.upf
Ta 180.95 Ta.upf
Nb 92.91 Nb.upf
Ir 192.22 Ir.upf
CELL_PARAMETERS angstrom
4.8371 0.0000 0.0000
0.0000 4.8371 0.0000
0.0000 0.0000 4.9886
ATOMIC_POSITIONS angstrom
Zr 0.0000 0.0000 0.0000
Ta 0.0000 2.4185 2.4943
Ta 2.4185 0.0000 2.4943
Nb 2.4185 2.4185 0.0000
Ir 0.0000 0.0000 2.4943

No. 10
! PRu3W PBE-GGA relaxed; values from VASP
! Polymorph energy (0 for the lowest one) ... 1194 meV/atom
! Symmetry ... Pm-3m (221)
! E ... -7.360 eV per atom
! Energy relative to the elements ... 1.878 eV/atom
! Size of the total moment ... 1.374 μB/f.u.
&SYSTEM
  ibrav = 0, nat = 5, ntyp = 3
/
ATOMIC_SPECIES
P 30.97 P.upf
Ru 101.07 Ru.upf
W 183.84 W.upf
CELL_PARAMETERS angstrom
4.6729 0.0000 0.0000
0.0000 4.6729 0.0000
0.0000 0.0000 4.6729
ATOMIC_POSITIONS angstrom
P 0.0000 0.0000 0.0000
Ru 0.0000 2.3364 2.3364
Ru 2.3364 0.0000 2.3364
Ru 2.3364 2.3364 0.0000
W 2.3364 2.3364 2.3364

No. 11
! TiAlAs2Os PBE-GGA relaxed; values from VASP
! Symmetry ... P4/mmm (123)
! E ... -5.839 eV per atom
! Energy relative to the elements ... 0.594 eV/atom
! Size of the total moment ... 0.000 μB/f.u.
&SYSTEM
  ibrav = 0, nat = 5, ntyp = 4
/
ATOMIC_SPECIES
Ti 47.87 Ti.upf
Al 26.98 Al.upf
As 74.92 As.upf
Os 190.23 Os.upf
CELL_PARAMETERS angstrom
4.6962 0.0000 0.0000
0.0000 4.6962 0.0000
0.0000 0.0000 4.9983
ATOMIC_POSITIONS angstrom
Ti 0.0000 0.0000 0.0000
Al 2.3481 2.3481 0.0000
As 0.0000 2.3481 2.4992
As 2.3481 0.0000 2.4992
Os 0.0000 0.0000 2.4992

No. 12
! Nd5Sm4Tm3 PBE-GGA relaxed; values from VASP
! Symmetry ... C2/m (12)
! E ... -4.432 eV per atom
! Energy relative to the elements ... 0.246 eV/atom
! Size of the total moment ... 0.000 μB/f.u.
&SYSTEM
  ibrav = 0, nat = 12, ntyp = 3
/
ATOMIC_SPECIES
Nd 144.24 Nd.upf
Sm 150.36 Sm.upf
Tm 168.93 Tm.upf
CELL_PARAMETERS angstrom
6.0909 -2.9857 0.0000
6.0909 2.9857 0.0000
-6.0035 0.0000 11.4414
ATOMIC_POSITIONS angstrom
Nd 0.0000 0.0000 0.0000
Nd -1.2902 0.0000 3.7408
Nd -1.0487 0.0000 7.8768
Nd 7.2269 0.0000 3.5645
Nd 7.4684 0.0000 7.7006
Sm 3.1256 0.0000 2.5236
Sm 1.4580 0.0000 5.6895
Sm 4.7202 0.0000 5.7519
Sm 3.0526 0.0000 8.9177
Tm -2.9616 0.0000 10.5918
Tm 6.0909 0.0000 0.0000
Tm 9.1398 0.0000 0.8496

Repeat the first record exactly.
! Nd4ZnSn3 PBE-GGA relaxed; values from VASP
! Symmetry ... Pmm2 (25)
! E ... -4.696 eV per atom
! Energy relative to the elements ... -0.651 eV/atom
! Size of the total moment ... 0.612 μB/f.u.
&SYSTEM
  ibrav = 0, nat = 8, ntyp = 3
/
ATOMIC_SPECIES
Nd 144.24 Nd.upf
Zn 65.41 Zn.upf
Sn 118.71 Sn.upf
CELL_PARAMETERS angstrom
4.4076 0.0000 0.0000
0.0000 4.5840 0.0000
0.0000 0.0000 11.6984
ATOMIC_POSITIONS angstrom
Nd 0.0000 0.0000 0.0000
Nd 0.0000 2.2920 5.7304
Nd 2.2038 0.0000 8.3896
Nd 2.2038 2.2920 2.5648
Zn 0.0000 0.0000 3.2524
Sn 0.0000 2.2920 8.9631
Sn 2.2038 0.0000 5.0599
Sn 2.2038 2.2920 11.0331